1.
A geometry-optimized MgB9N structure. Source: Alexandria via LeMat-Bulk, functional PBEsol.

Computed properties:
- E_form (uncorrected) (eV per atom) = -0.43
- space-group type = R-3m
- size of the total moment (Bohr magnetons per cell) = 0.00
- calculated total energy (eV per cell) = -156.27

Unit cell a=5.4731 b=5.4731 c=7.3704 alpha=68.20 beta=68.20 gamma=60.00
With the nearest neighbours (Å) after each atom.
Fractional coordinates of all 22 atoms:
Mg 0.6956 0.6956 0.9131  1 N 2.09
Mg 0.3044 0.3044 0.0869  1 N 2.09
B 0.8577 0.8577 0.1087  5 B 1.69-1.76
B 0.8577 0.1759 0.1087  5 B 1.69-1.76
B 0.1759 0.8577 0.1087  5 B 1.69-1.76
B 0.1423 0.1423 0.8913  5 B 1.69-1.76
B 0.8703 0.3389 0.4518  1 N 1.52
B 0.3389 0.8703 0.4518  1 N 1.52
B 0.3389 0.3389 0.4518  1 N 1.52
B 0.1297 0.6611 0.5482  1 N 1.52
B 0.6611 0.1297 0.5482  1 N 1.52
B 0.6611 0.6611 0.5482  1 N 1.52
B 0.6479 0.3248 0.7025  6 B 1.69-1.79
B 0.3248 0.6479 0.7025  6 B 1.69-1.79
B 0.3248 0.3248 0.7025  6 B 1.69-1.79
B 0.3521 0.6752 0.2975  6 B 1.69-1.79
B 0.6752 0.3521 0.2975  6 B 1.69-1.79
B 0.6752 0.6752 0.2975  6 B 1.69-1.79
B 0.8241 0.1423 0.8913  5 B 1.69-1.76
B 0.1423 0.8241 0.8913  5 B 1.69-1.76
N 0.8005 0.8005 0.5985  3 B 1.52
N 0.1995 0.1995 0.4015  3 B 1.52


2.
A geometry-optimized BaSc3 structure. Source: Alexandria via LeMat-Bulk, functional PBEsol.

Computed properties:
- energy relative to the elements (eV per atom) = 0.31
- space-group type = C2/m
- size of the total moment (Bohr magnetons per cell) = 0.00
- calculated total energy (eV per cell) = -20.74

Unit cell a=3.3320 b=5.7829 c=6.1778 alpha=96.78 beta=90.00 gamma=106.74
With the nearest neighbours (Å) after each atom.
Fractional coordinates of all 4 atoms:
Ba 0.0000 0.0000 0.0000  2 Ba 3.33, 10 Sc 3.40-3.56
Sc 0.5000 0.0000 0.5000  8 Sc 3.28-3.33, 4 Ba 3.51
Sc 0.2437 0.4873 0.7158  7 Sc 3.16-3.33, 1 Ba 3.40
Sc 0.7563 0.5127 0.2842  7 Sc 3.16-3.33, 1 Ba 3.40